Entry 1:
The following is a GGA-PBE calculation of a relaxed TcNiSe2 crystal, from Alexandria. Values from VASP.

Cell and atoms, written as Quantum ESPRESSO input:
```
&SYSTEM
  ibrav = 0, nat = 4, ntyp = 3
/
ATOMIC_SPECIES
Se 78.96 Se.upf
Ni 58.69 Ni.upf
Tc 98.00 Tc.upf
CELL_PARAMETERS angstrom
-3.558 0.042 2.030
-3.783 -1.334 -0.830
0.374 -5.919 2.818
ATOMIC_POSITIONS crystal
Se 0.978 0.978 0.155
Se 0.768 0.768 0.646
Ni 0.258 0.258 0.225
Tc 0.496 0.496 0.473
```

Output
**Electronic total energy**: -0.429 Ry/atom
**Symmetry**: No. 8
**Calculated density**: 6717 kg/m3
**ΔE_f (raw)**: -53 meV per atom
**Offset from the most stable computed form**: 223 meV/atom
**Density of states at the Fermi level**: 3.20 states/eV per cell

---

Entry 2:
The following is a GGA-PBE calculation of a relaxed MoAsI3 crystal, from Alexandria. Values from VASP.

Cell and atoms, written as Quantum ESPRESSO input:
```
&SYSTEM
  ibrav = 0, nat = 5, ntyp = 3
/
ATOMIC_SPECIES
Mo 95.94 Mo.upf
I 126.90 I.upf
As 74.92 As.upf
CELL_PARAMETERS angstrom
5.707 0.000 0.000
0.000 5.707 0.000
0.000 0.000 5.707
ATOMIC_POSITIONS crystal
Mo 0.500 0.500 0.500
I 0.500 0.000 0.000
I 0.000 0.500 0.000
I 0.000 0.000 0.500
As 0.000 0.000 0.000
```

Output
**Electronic total energy**: -0.229 Ry/atom
**Symmetry**: No. 221
**Calculated density**: 4927 kg/m3
**ΔE_f (raw)**: 912 meV per atom
**Offset from the most stable computed form**: 116 meV/atom
**Density of states at the Fermi level**: 1.64 states/eV per cell

---

Entry 3:
The following is a GGA-PBE calculation of a relaxed RhIBr3 crystal, from Alexandria. Values from VASP.

Cell and atoms, written as Quantum ESPRESSO input:
```
&SYSTEM
  ibrav = 0, nat = 5, ntyp = 3
/
ATOMIC_SPECIES
I 126.90 I.upf
Br 79.90 Br.upf
Rh 102.91 Rh.upf
CELL_PARAMETERS angstrom
-3.981 3.183 0.408
-1.726 -2.673 4.003
2.705 2.979 3.156
ATOMIC_POSITIONS crystal
I 0.500 0.500 0.500
Br 0.000 0.500 0.000
Rh 0.000 0.000 0.000
Br 0.000 0.000 0.500
Br 0.500 0.000 0.000
```

Output
**Electronic total energy**: -0.194 Ry/atom
**Symmetry**: No. 221
**Calculated density**: 5831 kg/m3
**ΔE_f (raw)**: 142 meV per atom
**Offset from the most stable computed form**: 0 meV/atom
**Density of states at the Fermi level**: 8.90 states/eV per cell

---

Entry 4:
The following is a GGA-PBE calculation of a relaxed VNi6Pt3 crystal, from Alexandria. Values from VASP.

Cell and atoms, written as Quantum ESPRESSO input:
```
&SYSTEM
  ibrav = 0, nat = 20, ntyp = 3
/
ATOMIC_SPECIES
Ni 58.69 Ni.upf
Pt 195.08 Pt.upf
V 50.94 V.upf
CELL_PARAMETERS angstrom
3.742 0.000 0.000
0.000 8.083 -0.290
0.000 -0.087 8.353
ATOMIC_POSITIONS crystal
Ni 0.750 0.855 0.790
Ni 0.750 0.953 0.105
Pt 0.250 0.551 0.399
Ni 0.250 0.047 0.895
Ni 0.250 0.866 0.316
Ni 0.750 0.134 0.684
Ni 0.250 0.229 0.497
Ni 0.250 0.145 0.210
Ni 0.250 0.446 0.101
Ni 0.750 0.554 0.899
Ni 0.750 0.771 0.503
Ni 0.750 0.338 0.305
Pt 0.250 0.345 0.801
Pt 0.750 0.655 0.199
V 0.750 0.057 0.383
V 0.250 0.943 0.617
Pt 0.750 0.449 0.601
Ni 0.250 0.662 0.695
Pt 0.250 0.757 0.991
Pt 0.750 0.243 0.009
```

Output
**Electronic total energy**: -0.465 Ry/atom
**Symmetry**: No. 11
**Calculated density**: 12996 kg/m3
**Energy of formation**: -1.28 eV/f.u.
**Offset from the most stable computed form**: 0 meV/atom
**Density of states at the Fermi level**: 28.33 states/eV per cell

---

Entry 5:
The following is a GGA-PBE calculation of a relaxed Ta3TlV crystal, from Alexandria. Values from VASP.

Cell and atoms, written as Quantum ESPRESSO input:
```
&SYSTEM
  ibrav = 0, nat = 5, ntyp = 3
/
ATOMIC_SPECIES
V 50.94 V.upf
Tl 204.38 Tl.upf
Ta 180.95 Ta.upf
CELL_PARAMETERS angstrom
-4.490 0.523 -1.276
-1.373 -2.071 3.986
-0.119 4.183 2.132
ATOMIC_POSITIONS crystal
V 0.000 0.000 0.000
Tl 0.500 0.500 0.500
Ta 0.000 0.000 0.500
Ta 0.500 0.000 0.000
Ta 0.000 0.500 0.000
```

Output
**Electronic total energy**: -0.609 Ry/atom
**Symmetry**: No. 221
**Calculated density**: 12791 kg/m3
**Energy of formation**: 5.65 eV/f.u.
**Offset from the most stable computed form**: 0 meV/atom
**Density of states at the Fermi level**: 4.07 states/eV per cell

---

Entry 6:
The following is a GGA-PBE calculation of a relaxed LiCa2Rh3O8 crystal, from Alexandria. Values from VASP.

Cell and atoms, written as Quantum ESPRESSO input:
```
&SYSTEM
  ibrav = 0, nat = 14, ntyp = 4
/
ATOMIC_SPECIES
Ca 40.08 Ca.upf
Rh 102.91 Rh.upf
O 16.00 O.upf
Li 6.94 Li.upf
CELL_PARAMETERS angstrom
6.281 0.000 0.000
3.141 5.440 0.000
3.141 1.813 5.374
ATOMIC_POSITIONS crystal
Ca 0.498 0.498 0.507
Rh 0.993 0.496 0.014
Rh 0.496 0.496 0.014
O 0.264 0.264 0.208
Li 0.915 0.915 0.254
O 0.246 0.696 0.812
O 0.246 0.246 0.812
O 0.696 0.246 0.812
O 0.726 0.726 0.822
Rh 0.496 0.993 0.014
O 0.752 0.291 0.206
Ca 0.122 0.122 0.635
O 0.752 0.752 0.206
O 0.291 0.752 0.206
```

Output
**Electronic total energy**: -0.468 Ry/atom
**Symmetry**: No. 160
**Calculated density**: 4737 kg/m3
**ΔE_f (raw)**: -1539 meV per atom
**Density of states at the Fermi level**: 6.01 states/eV per cell

---

Entry 7:
The following is a GGA-PBE calculation of a relaxed Ba12Sr3Mg crystal, from Alexandria. Values from VASP.

Cell and atoms, written as Quantum ESPRESSO input:
```
&SYSTEM
  ibrav = 0, nat = 16, ntyp = 3
/
ATOMIC_SPECIES
Ba 137.33 Ba.upf
Sr 87.62 Sr.upf
Mg 24.30 Mg.upf
CELL_PARAMETERS angstrom
6.840 0.000 0.000
0.000 6.840 0.000
0.000 0.000 19.972
ATOMIC_POSITIONS crystal
Ba 0.000 0.500 0.372
Ba 0.500 0.500 0.244
Ba 0.500 0.000 0.113
Ba 0.500 0.500 0.756
Ba 0.000 0.500 0.628
Ba 0.500 0.500 0.500
Ba 0.500 0.000 0.372
Ba 0.000 0.500 0.113
Sr 0.000 0.000 0.246
Ba 0.000 0.500 0.887
Sr 0.000 0.000 0.754
Sr 0.000 0.000 0.500
Ba 0.500 0.000 0.887
Ba 0.500 0.000 0.628
Ba 0.500 0.500 0.000
Mg 0.000 0.000 0.000
```

Output
**Electronic total energy**: -0.135 Ry/atom
**Symmetry**: No. 123
**Calculated density**: 3439 kg/m3
**Energy of formation**: 0.36 eV/f.u.
**Density of states at the Fermi level**: 19.99 states/eV per cell

---

Entry 8:
The following is a GGA-PBE calculation of a relaxed BeSnGe2H crystal, from Alexandria. Values from VASP.

Cell and atoms, written as Quantum ESPRESSO input:
```
&SYSTEM
  ibrav = 0, nat = 5, ntyp = 4
/
ATOMIC_SPECIES
Ge 72.64 Ge.upf
Be 9.01 Be.upf
H 1.01 H.upf
Sn 118.71 Sn.upf
CELL_PARAMETERS angstrom
4.346 0.000 0.000
0.000 5.163 0.000
0.000 0.000 4.346
ATOMIC_POSITIONS crystal
Ge 0.500 0.000 0.000
Be 0.000 0.000 0.000
H 0.500 0.500 0.500
Sn 0.000 0.500 0.000
Ge 0.000 0.000 0.500
```

Output
**Electronic total energy**: -0.242 Ry/atom
**Symmetry**: No. 123
**Calculated density**: 4666 kg/m3
**Density of states at the Fermi level**: 2.62 states/eV per cell

---

- Which of these has the highest electronic total energy?
  Ba12Sr3Mg

---

- Among the records above, which one has the highest calculated density?
  VNi6Pt3

---

- The highest electronic total energy belongs to which entry?
  Ba12Sr3Mg